Record 1
# PBE MgFe2As, relaxed
# Volume (A^3/atom): 14.265
# Formation energy from the elements (eV per formula unit): 0.36
data_MgFe2As
_space_group_name_H-M_alt 'C 1 2/m 1'
_space_group_IT_number 12
_cell_length_a 9.036
_cell_length_b 3.478
_cell_length_c 4.053
_cell_angle_alpha 90.00
_cell_angle_beta 116.38
_cell_angle_gamma 90.00
loop_
_space_group_symop_operation_xyz
'x,y,z'
'-x,-y,-z'
'-x,y,-z'
'x,-y,z'
'x+1/2,y+1/2,z'
'-x+1/2,-y+1/2,-z'
'-x+1/2,y+1/2,-z'
'x+1/2,-y+1/2,z'
loop_
_atom_site_label
_atom_site_type_symbol
_atom_site_fract_x
_atom_site_fract_y
_atom_site_fract_z
Mg1 Mg 0.000 0.000 0.000
Fe1 Fe 0.240 0.000 0.740
As1 As 0.000 0.500 0.500

---

Record 2
# PBE Nd3Dy5S8, relaxed
# Volume (A^3/atom): 22.109
# E_form (uncorrected) (eV per atom): -2.00
data_Nd3Dy5S8
_space_group_name_H-M_alt 'R -3 m'
_space_group_IT_number 166
_space_group_name_Hall '-R 3 2"'
_cell_length_a 7.9119
_cell_length_b 7.9119
_cell_length_c 19.5757
_cell_angle_alpha 90.00
_cell_angle_beta 90.00
_cell_angle_gamma 120.00
loop_
_atom_site_label
_atom_site_type_symbol
_atom_site_fract_x
_atom_site_fract_y
_atom_site_fract_z
Nd1 Nd 0.0000 0.5000 0.0000
Dy1 Dy 0.0000 0.0000 0.0000
Dy2 Dy 0.0000 0.0000 0.5000
Dy3 Dy 0.0000 0.5000 0.5000
S1 S 0.0000 0.0000 0.2446
S2 S 0.0070 0.5035 0.7536

---

Record 3
# PBE Al2OsCl2, relaxed
# Volume (A^3/atom): 18.816
# E_form (uncorrected) (eV per atom): 0.64
# Energy above the most stable polymorph in this dataset (meV per atom): 6.1
data_Al2OsCl2
_space_group_name_H-M_alt 'P 4/m b m'
_space_group_IT_number 127
_space_group_name_Hall '-P 4 2ab'
_cell_length_a 7.937
_cell_length_b 7.937
_cell_length_c 2.987
_cell_angle_alpha 90.00
_cell_angle_beta 90.00
_cell_angle_gamma 90.00
loop_
_atom_site_label
_atom_site_type_symbol
_atom_site_fract_x
_atom_site_fract_y
_atom_site_fract_z
Al1 Al 0.223 0.277 0.000
Os1 Os 0.000 0.000 0.500
Cl1 Cl 0.120 0.620 0.500

---

Record 4
# PBE AcPm2Ru, relaxed
# Volume (A^3/atom): 27.368
# Energy above the most stable polymorph in this dataset (meV per atom): 504.3
# Formation energy from the elements (eV per formula unit): 1.26
data_AcPm2Ru
_space_group_name_H-M_alt 'F m -3 m'
_space_group_IT_number 225
_space_group_name_Hall '-F 4 2 3'
_cell_length_a 7.594
_cell_length_b 7.594
_cell_length_c 7.594
_cell_angle_alpha 90.00
_cell_angle_beta 90.00
_cell_angle_gamma 90.00
loop_
_atom_site_label
_atom_site_type_symbol
_atom_site_fract_x
_atom_site_fract_y
_atom_site_fract_z
Ac1 Ac 0.000 0.000 0.000
Pm1 Pm 0.250 0.250 0.250
Ru1 Ru 0.000 0.000 0.500